Record 1
Cd2H3Rh2 | PBE | relaxed

Results
energy above the lowest structure with this stoichiometry: 27.1 meV per atom
E_tot: -3.83 eV per atom
ρ: 9.0 Mg/m³

```
data_Cd2H3Rh2
_chemical_formula_sum 'Cd4 H6 Rh4'
_cell_length_a 10.696
_cell_length_b 3.004
_cell_length_c 5.766
_cell_angle_alpha 90.00
_cell_angle_beta 120.74
_cell_angle_gamma 90.00
_symmetry_space_group_name_H-M 'C 1 2/m 1'
_symmetry_Int_Tables_number 12
_symmetry_space_group_name_Hall '-C 2y'
loop_
_atom_site_label
_atom_site_type_symbol
_atom_site_fract_x
_atom_site_fract_y
_atom_site_fract_z
Cd1 Cd 0.136 0.000 0.259
H1 H 0.000 0.500 0.500
H2 H 0.174 0.500 0.948
Rh1 Rh 0.132 0.000 0.750
```


Record 2
Tb4Nd2Dy2Mg | PBE | relaxed

Results
E_tot: -4.18 eV per atom
DFT formation energy: 1.2 eV/f.u.
ρ: 7.1 Mg/m³

```
data_Tb4Nd2Dy2Mg
_chemical_formula_sum 'Tb4 Nd2 Dy2 Mg1'
_cell_length_a 6.634
_cell_length_b 6.945
_cell_length_c 7.594
_cell_angle_alpha 88.27
_cell_angle_beta 73.46
_cell_angle_gamma 63.09
_symmetry_space_group_name_H-M 'P -1'
_symmetry_Int_Tables_number 2
_symmetry_space_group_name_Hall '-P 1'
loop_
_atom_site_label
_atom_site_type_symbol
_atom_site_fract_x
_atom_site_fract_y
_atom_site_fract_z
Tb1 Tb 0.006 0.129 0.281
Tb2 Tb 0.096 0.644 0.104
Nd1 Nd 0.472 0.324 0.679
Dy1 Dy 0.464 0.843 0.853
Mg1 Mg 0.000 0.500 0.500
```


Record 3
Rb3CaBr | PBE | relaxed

Results
energy above the lowest structure with this stoichiometry: 0.0 meV per atom
E_tot: -1.79 eV per atom
ρ: 2.0 Mg/m³
raw formation energy: -0.4784 eV per atom

```
data_Rb3CaBr
_chemical_formula_sum 'Rb3 Ca1 Br1'
_cell_length_a 6.842
_cell_length_b 6.842
_cell_length_c 6.842
_cell_angle_alpha 90.00
_cell_angle_beta 90.00
_cell_angle_gamma 90.00
_symmetry_space_group_name_H-M 'P m -3 m'
_symmetry_Int_Tables_number 221
_symmetry_space_group_name_Hall '-P 4 2 3'
loop_
_atom_site_label
_atom_site_type_symbol
_atom_site_fract_x
_atom_site_fract_y
_atom_site_fract_z
Rb1 Rb 0.000 0.000 0.500
Ca1 Ca 0.500 0.500 0.500
Br1 Br 0.000 0.000 0.000
```


Record 4
Np2BeP3 | PBE | relaxed

Results
E_tot: -8.38 eV per atom
DFT formation energy: -4.4 eV/f.u.
ρ: 8.9 Mg/m³

```
data_Np2BeP3
_chemical_formula_sum 'Np8 Be4 P12'
_cell_length_a 7.535
_cell_length_b 3.815
_cell_length_c 14.994
_cell_angle_alpha 90.00
_cell_angle_beta 90.00
_cell_angle_gamma 90.00
_symmetry_space_group_name_H-M 'P n m a'
_symmetry_Int_Tables_number 62
_symmetry_space_group_name_Hall '-P 2ac 2n'
loop_
_atom_site_label
_atom_site_type_symbol
_atom_site_fract_x
_atom_site_fract_y
_atom_site_fract_z
Np1 Np 0.101 0.250 0.216
Np2 Np 0.248 0.750 0.462
Be1 Be 0.121 0.250 0.636
P1 P 0.005 0.250 0.398
P2 P 0.116 0.750 0.075
P3 P 0.169 0.250 0.780
```


Record 5
LiPI2N | PBE | relaxed

Results
energy above the lowest structure with this stoichiometry: 0.0 meV per atom
E_tot: -3.60 eV per atom
ρ: 4.1 Mg/m³
raw formation energy: 0.1470 eV per atom

```
data_LiPI2N
_chemical_formula_sum 'Li1 P1 I2 N1'
_cell_length_a 6.051
_cell_length_b 6.051
_cell_length_c 3.397
_cell_angle_alpha 90.00
_cell_angle_beta 90.00
_cell_angle_gamma 90.00
_symmetry_space_group_name_H-M 'P 4/m m m'
_symmetry_Int_Tables_number 123
_symmetry_space_group_name_Hall '-P 4 2'
loop_
_atom_site_label
_atom_site_type_symbol
_atom_site_fract_x
_atom_site_fract_y
_atom_site_fract_z
Li1 Li 0.000 0.000 0.000
P1 P 0.500 0.500 0.500
I1 I 0.000 0.500 0.500
N1 N 0.500 0.500 0.000
```


Record 6
BaTh2RhN4 | PBE | relaxed

Results
E_tot: -8.16 eV per atom
ρ: 8.7 Mg/m³
raw formation energy: -0.9844 eV per atom

```
data_BaTh2RhN4
_chemical_formula_sum 'Ba4 Th8 Rh4 N16'
_cell_length_a 3.749
_cell_length_b 12.251
_cell_length_c 12.585
_cell_angle_alpha 90.00
_cell_angle_beta 90.00
_cell_angle_gamma 90.00
_symmetry_space_group_name_H-M 'C m c m'
_symmetry_Int_Tables_number 63
_symmetry_space_group_name_Hall '-C 2c 2'
loop_
_atom_site_label
_atom_site_type_symbol
_atom_site_fract_x
_atom_site_fract_y
_atom_site_fract_z
Ba1 Ba 0.000 0.083 0.250
Th1 Th 0.000 0.365 0.054
Rh1 Rh 0.000 0.185 0.750
N1 N 0.000 0.000 0.000
N2 N 0.000 0.252 0.599
N3 N 0.000 0.397 0.250
```


Record 7
Tb2Cd3Hg4 | PBE | relaxed

Results
energy above the lowest structure with this stoichiometry: 0.0 meV per atom
E_tot: -1.77 eV per atom
DFT formation energy: -2.7 eV/f.u.
ρ: 11.3 Mg/m³

```
data_Tb2Cd3Hg4
_chemical_formula_sum 'Tb4 Cd6 Hg8'
_cell_length_a 8.804
_cell_length_b 5.056
_cell_length_c 9.603
_cell_angle_alpha 90.00
_cell_angle_beta 90.67
_cell_angle_gamma 90.00
_symmetry_space_group_name_H-M 'C 1 2/m 1'
_symmetry_Int_Tables_number 12
_symmetry_space_group_name_Hall '-C 2y'
loop_
_atom_site_label
_atom_site_type_symbol
_atom_site_fract_x
_atom_site_fract_y
_atom_site_fract_z
Tb1 Tb 0.168 0.000 0.215
Cd1 Cd 0.000 0.500 0.000
Cd2 Cd 0.165 0.000 0.564
Hg1 Hg 0.002 0.500 0.338
Hg2 Hg 0.166 0.000 0.892
```


Record 8
PmTe2S6 | PBE | relaxed

Results
E_tot: -4.38 eV per atom
ρ: 3.6 Mg/m³
raw formation energy: -0.4064 eV per atom

```
data_PmTe2S6
_chemical_formula_sum 'Pm4 Te8 S24'
_cell_length_a 14.473
_cell_length_b 10.841
_cell_length_c 7.392
_cell_angle_alpha 90.00
_cell_angle_beta 109.10
_cell_angle_gamma 90.00
_symmetry_space_group_name_H-M 'C 1 2/c 1'
_symmetry_Int_Tables_number 15
_symmetry_space_group_name_Hall '-C 2yc'
loop_
_atom_site_label
_atom_site_type_symbol
_atom_site_fract_x
_atom_site_fract_y
_atom_site_fract_z
Pm1 Pm 0.000 0.189 0.250
Te1 Te 0.234 0.410 0.375
S1 S 0.056 0.043 0.971
S2 S 0.100 0.369 0.101
S3 S 0.156 0.253 0.614
```


Record 9
SrNdEuTm | PBE | relaxed

Results
E_tot: -5.10 eV per atom
DFT formation energy: 0.8 eV/f.u.
ρ: 6.0 Mg/m³

```
data_SrNdEuTm
_chemical_formula_sum 'Sr4 Nd4 Eu4 Tm4'
_cell_length_a 8.500
_cell_length_b 8.500
_cell_length_c 8.500
_cell_angle_alpha 90.00
_cell_angle_beta 90.00
_cell_angle_gamma 90.00
_symmetry_space_group_name_H-M 'F -4 3 m'
_symmetry_Int_Tables_number 216
_symmetry_space_group_name_Hall 'F -4 2 3'
loop_
_atom_site_label
_atom_site_type_symbol
_atom_site_fract_x
_atom_site_fract_y
_atom_site_fract_z
Sr1 Sr 0.000 0.000 0.000
Nd1 Nd 0.000 0.000 0.500
Eu1 Eu 0.250 0.250 0.250
Tm1 Tm 0.250 0.250 0.750
```


Record 10
Tl4In2Bi5 | PBE | relaxed

Results
E_tot: -3.10 eV per atom
DFT formation energy: 0.2 eV/f.u.
ρ: 9.7 Mg/m³

```
data_Tl4In2Bi5
_chemical_formula_sum 'Tl8 In4 Bi10'
_cell_length_a 11.243
_cell_length_b 7.037
_cell_length_c 10.316
_cell_angle_alpha 90.00
_cell_angle_beta 118.52
_cell_angle_gamma 90.00
_symmetry_space_group_name_H-M 'C 1 2/m 1'
_symmetry_Int_Tables_number 12
_symmetry_space_group_name_Hall '-C 2y'
loop_
_atom_site_label
_atom_site_type_symbol
_atom_site_fract_x
_atom_site_fract_y
_atom_site_fract_z
Tl1 Tl 0.196 0.000 0.154
Tl2 Tl 0.203 0.000 0.539
In1 In 0.175 0.500 0.098
Bi1 Bi 0.000 0.500 0.500
Bi2 Bi 0.027 0.243 0.783
```


Record 11
Dy3CO2 | PBE | relaxed

Results
E_tot: -7.67 eV per atom
ρ: 9.9 Mg/m³
raw formation energy: -2.1812 eV per atom

```
data_Dy3CO2
_chemical_formula_sum 'Dy12 C4 O8'
_cell_length_a 6.013
_cell_length_b 10.438
_cell_length_c 6.040
_cell_angle_alpha 90.00
_cell_angle_beta 109.65
_cell_angle_gamma 90.00
_symmetry_space_group_name_H-M 'C 1 2/c 1'
_symmetry_Int_Tables_number 15
_symmetry_space_group_name_Hall '-C 2yc'
loop_
_atom_site_label
_atom_site_type_symbol
_atom_site_fract_x
_atom_site_fract_y
_atom_site_fract_z
Dy1 Dy 0.244 0.081 0.001
Dy2 Dy 0.250 0.250 0.500
C1 C 0.000 0.083 0.250
O1 O 0.000 0.247 0.750
O2 O 0.000 0.416 0.250
```